A plane-wave DFT calculation with PBE-GGA was carried out for an optimized crystal structure of DyThTl2.

total magnetic moment = 0.0000 μB/atom
DOS at the Fermi energy = 1.005 states/eV/atom
space-group type = P4/mmm
electronic total energy = -17.59 eV per cell
mass density = 11.71 Mg/m³
DFT formation energy = -0.2088 eV/atom

abc: 4.5214 5.0185 5.0185
angles: 90.00 90.00 90.00
Fractional positions:
Tl 0.0000 0.0000 0.5000
Tl 0.0000 0.5000 0.0000
Th 0.5000 0.0000 0.0000
Dy 0.5000 0.5000 0.5000